15
Lattice="6.959 0.000 0.000 1.349 9.472 0.000 3.292 4.196 8.602" Properties=species:S:1:pos:R:3 comment="PBE Pb2Cl13, relaxed" density_g_cm3=2.563 polymorph_energy_kj_per_mol_atoms=0.0 e_tot_ev_per_atom=-2.449 space_group="P-1 (2)" magmom_total_mub_per_cell=0.00 pbc="T T T"
Pb 2.604 3.095 1.980
Pb 8.997 10.574 6.622
Cl 1.646 2.098 4.301
Cl 2.401 5.465 2.709
Cl 2.992 9.520 1.947
Cl 5.252 7.263 8.200
Cl 3.089 8.516 0.183
Cl 5.003 7.240 4.757
Cl 6.561 11.167 6.433
Cl 5.039 2.501 2.169
Cl 6.597 6.428 3.845
Cl 8.512 5.153 8.419
Cl 6.348 6.405 0.402
Cl 8.608 4.148 6.655
Cl 9.199 8.203 5.892